# PBE with a Hubbard U Li3MnCoO5, optimized geometry
data_Li3MnCoO5
_chemical_formula_sum 'Li6 Mn2 Co2 O10'
_cell_length_a 5.097
_cell_length_b 5.859
_cell_length_c 6.608
_cell_angle_alpha 103.92
_cell_angle_beta 97.81
_cell_angle_gamma 107.61
_space_group_name_H-M_alt 'P -1'
_space_group_IT_number 2
loop_
_space_group_symop_operation_xyz
'x,y,z'
'-x,-y,-z'
loop_
_atom_site_label
_atom_site_type_symbol
_atom_site_fract_x
_atom_site_fract_y
_atom_site_fract_z
Li1 Li 0.000 0.000 0.000
Li2 Li 0.000 0.500 0.000
Li3 Li 0.200 0.396 0.397
Li4 Li 0.388 0.799 0.810
Mn1 Mn 0.400 0.299 0.804
Co1 Co 0.195 0.888 0.391
O1 O 0.104 0.423 0.696
O2 O 0.108 0.969 0.703
O3 O 0.324 0.845 0.118
O4 O 0.326 0.365 0.089
O5 O 0.486 0.240 0.521
# Relative energy among the computed polymorphs in meV per atom: 26.5
# ρ in Mg/m³: 4.01
# VASP energy in eV per atom: -5.936